DFT (GGA-PBE) results for a relaxed structure of RePd3Au.

The calculation puts the total magnetic moment at 0.00 μB/cell. The total energy comes out at -4.992 eV/atom. As for the energy relative to the lowest polymorph listed for this composition: 0.000 eV/f.u. Its formation energy from the elements is 1.2684 eV per atom.

Cell: 4.7867 4.7867 4.7867 Å, 90.00 90.00 90.00°
Sites, in units of the cell vectors:
Re 0.0000 0.0000 0.0000
Au 0.5000 0.5000 0.5000
Pd 0.0000 0.5000 0.0000
Pd 0.0000 0.0000 0.5000
Pd 0.5000 0.0000 0.0000